Record 1
# PBE SrHfZrCr2, relaxed
data_SrHfZrCr2
_chemical_formula_sum 'Sr1 Hf1 Zr1 Cr2'
_cell_length_a 4.9118
_cell_length_b 4.9118
_cell_length_c 5.1230
_cell_angle_alpha 90.00
_cell_angle_beta 90.00
_cell_angle_gamma 90.00
_symmetry_space_group_name_H-M 'P 4/m m m'
_symmetry_Int_Tables_number 123
_symmetry_space_group_name_Hall '-P 4 2'
loop_
_atom_site_label
_atom_site_type_symbol
_atom_site_fract_x
_atom_site_fract_y
_atom_site_fract_z
_atom_site_occupancy
Sr1 Sr 0.0000 0.0000 0.0000 1
Hf1 Hf 0.5000 0.5000 0.5000 1
Zr1 Zr 0.0000 0.0000 0.5000 1
Cr1 Cr 0.0000 0.5000 0.0000 1
# final energy: -5.852 eV per atom


Record 2
# PBE Hf3TaCr, relaxed
data_Hf3TaCr
_chemical_formula_sum 'Hf3 Ta1 Cr1'
_cell_length_a 4.7533
_cell_length_b 4.7533
_cell_length_c 4.7533
_cell_angle_alpha 90.00
_cell_angle_beta 90.00
_cell_angle_gamma 90.00
_symmetry_space_group_name_H-M 'P m -3 m'
_symmetry_Int_Tables_number 221
_symmetry_space_group_name_Hall '-P 4 2 3'
loop_
_atom_site_label
_atom_site_type_symbol
_atom_site_fract_x
_atom_site_fract_y
_atom_site_fract_z
_atom_site_occupancy
Hf1 Hf 0.0000 0.0000 0.5000 1
Ta1 Ta 0.5000 0.5000 0.5000 1
Cr1 Cr 0.0000 0.0000 0.0000 1
# relative energy among the computed polymorphs: 0.000 eV/atom
# final energy: -9.438 eV per atom


Record 3
# PBE Hf2TaCr, relaxed
data_Hf2TaCr
_chemical_formula_sum 'Hf8 Ta4 Cr4'
_cell_length_a 7.4344
_cell_length_b 7.4344
_cell_length_c 5.6371
_cell_angle_alpha 90.00
_cell_angle_beta 90.00
_cell_angle_gamma 90.00
_symmetry_space_group_name_H-M 'I -4 2 d'
_symmetry_Int_Tables_number 122
_symmetry_space_group_name_Hall 'I -4 2bw'
loop_
_atom_site_label
_atom_site_type_symbol
_atom_site_fract_x
_atom_site_fract_y
_atom_site_fract_z
_atom_site_occupancy
Hf1 Hf 0.2210 0.2500 0.1250 1
Ta1 Ta 0.0000 0.0000 0.5000 1
Cr1 Cr 0.0000 0.0000 0.0000 1
# relative energy among the computed polymorphs: 0.427 eV/atom
# final energy: -9.643 eV per atom


Record 4
# PBE HfTaCr2, relaxed
data_HfTaCr2
_chemical_formula_sum 'Hf1 Ta1 Cr2'
_cell_length_a 3.1630
_cell_length_b 3.1630
_cell_length_c 6.3721
_cell_angle_alpha 90.00
_cell_angle_beta 90.00
_cell_angle_gamma 90.00
_symmetry_space_group_name_H-M 'P 4/m m m'
_symmetry_Int_Tables_number 123
_symmetry_space_group_name_Hall '-P 4 2'
loop_
_atom_site_label
_atom_site_type_symbol
_atom_site_fract_x
_atom_site_fract_y
_atom_site_fract_z
_atom_site_occupancy
Hf1 Hf 0.0000 0.0000 0.0000 1
Ta1 Ta 0.0000 0.0000 0.5000 1
Cr1 Cr 0.5000 0.5000 0.2672 1
# relative energy among the computed polymorphs: 0.000 eV/atom
# final energy: -10.186 eV per atom


Record 5
# PBE HfTaCr, relaxed
data_HfTaCr
_chemical_formula_sum 'Hf2 Ta2 Cr2'
_cell_length_a 3.1993
_cell_length_b 3.1993
_cell_length_c 10.0898
_cell_angle_alpha 90.00
_cell_angle_beta 90.00
_cell_angle_gamma 90.00
_symmetry_space_group_name_H-M 'I 4 m m'
_symmetry_Int_Tables_number 107
_symmetry_space_group_name_Hall 'I 4 -2'
loop_
_atom_site_label
_atom_site_type_symbol
_atom_site_fract_x
_atom_site_fract_y
_atom_site_fract_z
_atom_site_occupancy
Hf1 Hf 0.0000 0.0000 0.0000 1
Ta1 Ta 0.0000 0.0000 0.3034 1
Cr1 Cr 0.0000 0.0000 0.6707 1
# relative energy among the computed polymorphs: 0.000 eV/atom
# final energy: -10.406 eV per atom


Record 6
# PBE HfTa3Cr, relaxed
data_HfTa3Cr
_chemical_formula_sum 'Hf1 Ta3 Cr1'
_cell_length_a 4.8504
_cell_length_b 4.8504
_cell_length_c 4.8504
_cell_angle_alpha 90.00
_cell_angle_beta 90.00
_cell_angle_gamma 90.00
_symmetry_space_group_name_H-M 'P m -3 m'
_symmetry_Int_Tables_number 221
_symmetry_space_group_name_Hall '-P 4 2 3'
loop_
_atom_site_label
_atom_site_type_symbol
_atom_site_fract_x
_atom_site_fract_y
_atom_site_fract_z
_atom_site_occupancy
Hf1 Hf 0.0000 0.0000 0.0000 1
Ta1 Ta 0.0000 0.0000 0.5000 1
Cr1 Cr 0.5000 0.5000 0.5000 1
# relative energy among the computed polymorphs: 1.602 eV/atom
# final energy: -8.633 eV per atom


Record 7
# PBE HfTaCr2, relaxed
data_HfTaCr2
_chemical_formula_sum 'Hf4 Ta4 Cr8'
_cell_length_a 6.9573
_cell_length_b 6.9573
_cell_length_c 5.5360
_cell_angle_alpha 90.00
_cell_angle_beta 90.00
_cell_angle_gamma 90.00
_symmetry_space_group_name_H-M 'I -4 2 d'
_symmetry_Int_Tables_number 122
_symmetry_space_group_name_Hall 'I -4 2bw'
loop_
_atom_site_label
_atom_site_type_symbol
_atom_site_fract_x
_atom_site_fract_y
_atom_site_fract_z
_atom_site_occupancy
Hf1 Hf 0.0000 0.0000 0.0000 1
Ta1 Ta 0.0000 0.0000 0.5000 1
Cr1 Cr 0.2350 0.7500 0.6250 1
# relative energy among the computed polymorphs: 0.694 eV/atom
# final energy: -9.493 eV per atom


Record 8
# PBE HfTaCr, relaxed
data_HfTaCr
_chemical_formula_sum 'Hf16 Ta16 Cr16'
_cell_length_a 5.0650
_cell_length_b 9.0922
_cell_length_c 18.3403
_cell_angle_alpha 90.00
_cell_angle_beta 90.00
_cell_angle_gamma 90.00
_symmetry_space_group_name_H-M 'F d d d'
_symmetry_Int_Tables_number 70
loop_
_symmetry_equiv_pos_as_xyz
'x,y,z'
'-x,-y,-z'
'-x+1/4,-y+1/4,z'
'x+1/4,y+1/4,-z'
'x,-y+1/4,-z+1/4'
'-x,y+1/4,z+1/4'
'-x+1/4,y,-z+1/4'
'x+1/4,-y,z+1/4'
'x,y+1/2,z+1/2'
'-x,-y+1/2,-z+1/2'
'-x+1/4,-y+3/4,z+1/2'
'x+1/4,y+3/4,-z+1/2'
'x,-y+3/4,-z+3/4'
'-x,y+3/4,z+3/4'
'-x+1/4,y+1/2,-z+3/4'
'x+1/4,-y+1/2,z+3/4'
'x+1/2,y,z+1/2'
'-x+1/2,-y,-z+1/2'
'-x+3/4,-y+1/4,z+1/2'
'x+3/4,y+1/4,-z+1/2'
'x+1/2,-y+1/4,-z+3/4'
'-x+1/2,y+1/4,z+3/4'
'-x+3/4,y,-z+3/4'
'x+3/4,-y,z+3/4'
'x+1/2,y+1/2,z'
'-x+1/2,-y+1/2,-z'
'-x+3/4,-y+3/4,z'
'x+3/4,y+3/4,-z'
'x+1/2,-y+3/4,-z+1/4'
'-x+1/2,y+3/4,z+1/4'
'-x+3/4,y+1/2,-z+1/4'
'x+3/4,-y+1/2,z+1/4'
loop_
_atom_site_label
_atom_site_type_symbol
_atom_site_fract_x
_atom_site_fract_y
_atom_site_fract_z
_atom_site_occupancy
Hf1 Hf 0.1250 0.2907 0.1250 1
Ta1 Ta 0.1250 0.1250 0.5421 1
Cr1 Cr 0.1250 0.1250 0.0000 1
# relative energy among the computed polymorphs: 0.082 eV/atom
# final energy: -10.323 eV per atom


Record 9
# PBE Hf2TaCr, relaxed
data_Hf2TaCr
_chemical_formula_sum 'Hf8 Ta4 Cr4'
_cell_length_a 6.6485
_cell_length_b 6.6485
_cell_length_c 6.6485
_cell_angle_alpha 90.00
_cell_angle_beta 90.00
_cell_angle_gamma 90.00
_symmetry_space_group_name_H-M 'F m -3 m'
_symmetry_Int_Tables_number 225
_symmetry_space_group_name_Hall '-F 4 2 3'
loop_
_atom_site_label
_atom_site_type_symbol
_atom_site_fract_x
_atom_site_fract_y
_atom_site_fract_z
_atom_site_occupancy
Hf1 Hf 0.2500 0.2500 0.2500 1
Ta1 Ta 0.0000 0.0000 0.0000 1
Cr1 Cr 0.0000 0.0000 0.5000 1
# relative energy among the computed polymorphs: 0.000 eV/atom
# final energy: -10.070 eV per atom


Record 10
# PBE Hf3TaCr, relaxed
data_Hf3TaCr
_chemical_formula_sum 'Hf3 Ta1 Cr1'
_cell_length_a 5.0806
_cell_length_b 5.0806
_cell_length_c 5.0806
_cell_angle_alpha 90.00
_cell_angle_beta 90.00
_cell_angle_gamma 90.00
_symmetry_space_group_name_H-M 'P m -3 m'
_symmetry_Int_Tables_number 221
_symmetry_space_group_name_Hall '-P 4 2 3'
loop_
_atom_site_label
_atom_site_type_symbol
_atom_site_fract_x
_atom_site_fract_y
_atom_site_fract_z
_atom_site_occupancy
Hf1 Hf 0.0000 0.0000 0.5000 1
Ta1 Ta 0.0000 0.0000 0.0000 1
Cr1 Cr 0.5000 0.5000 0.5000 1
# relative energy among the computed polymorphs: 0.504 eV/atom
# final energy: -8.934 eV per atom


Record 11
# PBE HfTa3Cr, relaxed
data_HfTa3Cr
_chemical_formula_sum 'Hf1 Ta3 Cr1'
_cell_length_a 4.6456
_cell_length_b 4.6456
_cell_length_c 4.6456
_cell_angle_alpha 90.00
_cell_angle_beta 90.00
_cell_angle_gamma 90.00
_symmetry_space_group_name_H-M 'P m -3 m'
_symmetry_Int_Tables_number 221
_symmetry_space_group_name_Hall '-P 4 2 3'
loop_
_atom_site_label
_atom_site_type_symbol
_atom_site_fract_x
_atom_site_fract_y
_atom_site_fract_z
_atom_site_occupancy
Hf1 Hf 0.0000 0.0000 0.0000 1
Ta1 Ta 0.0000 0.5000 0.5000 1
Cr1 Cr 0.5000 0.5000 0.5000 1
# relative energy among the computed polymorphs: 0.000 eV/atom
# final energy: -10.235 eV per atom


Record 12
# PBE HfTaCr2, relaxed
data_HfTaCr2
_chemical_formula_sum 'Hf4 Ta4 Cr8'
_cell_length_a 6.3160
_cell_length_b 6.3160
_cell_length_c 6.3160
_cell_angle_alpha 90.00
_cell_angle_beta 90.00
_cell_angle_gamma 90.00
_symmetry_space_group_name_H-M 'F m -3 m'
_symmetry_Int_Tables_number 225
_symmetry_space_group_name_Hall '-F 4 2 3'
loop_
_atom_site_label
_atom_site_type_symbol
_atom_site_fract_x
_atom_site_fract_y
_atom_site_fract_z
_atom_site_occupancy
Hf1 Hf 0.0000 0.0000 0.0000 1
Ta1 Ta 0.0000 0.0000 0.5000 1
Cr1 Cr 0.2500 0.2500 0.2500 1
# relative energy among the computed polymorphs: 0.017 eV/atom
# final energy: -10.169 eV per atom


Record 13
# PBE Hf3CrTc4, relaxed
data_Hf3CrTc4
_chemical_formula_sum 'Hf3 Cr1 Tc4'
_cell_length_a 3.1854
_cell_length_b 3.1854
_cell_length_c 12.8843
_cell_angle_alpha 90.00
_cell_angle_beta 90.00
_cell_angle_gamma 90.00
_symmetry_space_group_name_H-M 'P 4/m m m'
_symmetry_Int_Tables_number 123
_symmetry_space_group_name_Hall '-P 4 2'
loop_
_atom_site_label
_atom_site_type_symbol
_atom_site_fract_x
_atom_site_fract_y
_atom_site_fract_z
_atom_site_occupancy
Hf1 Hf 0.0000 0.0000 0.0000 1
Hf2 Hf 0.0000 0.0000 0.2566 1
Cr1 Cr 0.0000 0.0000 0.5000 1
Tc1 Tc 0.5000 0.5000 0.1304 1
Tc2 Tc 0.5000 0.5000 0.3898 1
# final energy: -10.427 eV per atom


Record 14
# PBE Hf3CrTc, relaxed
data_Hf3CrTc
_chemical_formula_sum 'Hf3 Cr1 Tc1'
_cell_length_a 4.6955
_cell_length_b 4.6955
_cell_length_c 4.6955
_cell_angle_alpha 90.00
_cell_angle_beta 90.00
_cell_angle_gamma 90.00
_symmetry_space_group_name_H-M 'P m -3 m'
_symmetry_Int_Tables_number 221
_symmetry_space_group_name_Hall '-P 4 2 3'
loop_
_atom_site_label
_atom_site_type_symbol
_atom_site_fract_x
_atom_site_fract_y
_atom_site_fract_z
_atom_site_occupancy
Hf1 Hf 0.0000 0.0000 0.5000 1
Cr1 Cr 0.0000 0.0000 0.0000 1
Tc1 Tc 0.5000 0.5000 0.5000 1
# relative energy among the computed polymorphs: 0.099 eV/atom
# final energy: -9.112 eV per atom


Record 15
# PBE HfCrTc2, relaxed
data_HfCrTc2
_chemical_formula_sum 'Hf1 Cr1 Tc2'
_cell_length_a 3.1087
_cell_length_b 3.1087
_cell_length_c 6.3391
_cell_angle_alpha 90.00
_cell_angle_beta 90.00
_cell_angle_gamma 90.00
_symmetry_space_group_name_H-M 'P 4/m m m'
_symmetry_Int_Tables_number 123
_symmetry_space_group_name_Hall '-P 4 2'
loop_
_atom_site_label
_atom_site_type_symbol
_atom_site_fract_x
_atom_site_fract_y
_atom_site_fract_z
_atom_site_occupancy
Hf1 Hf 0.0000 0.0000 0.0000 1
Cr1 Cr 0.0000 0.0000 0.5000 1
Tc1 Tc 0.5000 0.5000 0.2725 1
# final energy: -10.241 eV per atom


Record 16
# PBE Hf3CrTc, relaxed
data_Hf3CrTc
_chemical_formula_sum 'Hf3 Cr1 Tc1'
_cell_length_a 4.9767
_cell_length_b 4.9767
_cell_length_c 4.9767
_cell_angle_alpha 90.00
_cell_angle_beta 90.00
_cell_angle_gamma 90.00
_symmetry_space_group_name_H-M 'P m -3 m'
_symmetry_Int_Tables_number 221
_symmetry_space_group_name_Hall '-P 4 2 3'
loop_
_atom_site_label
_atom_site_type_symbol
_atom_site_fract_x
_atom_site_fract_y
_atom_site_fract_z
_atom_site_occupancy
Hf1 Hf 0.0000 0.0000 0.5000 1
Cr1 Cr 0.5000 0.5000 0.5000 1
Tc1 Tc 0.0000 0.0000 0.0000 1
# relative energy among the computed polymorphs: 0.000 eV/atom
# final energy: -9.212 eV per atom


Record 17
# PBE Hf6CrTc5, relaxed
data_Hf6CrTc5
_chemical_formula_sum 'Hf12 Cr2 Tc10'
_cell_length_a 4.6183
_cell_length_b 6.5362
_cell_length_c 13.8893
_cell_angle_alpha 90.00
_cell_angle_beta 90.00
_cell_angle_gamma 90.00
_symmetry_space_group_name_H-M 'I m m m'
_symmetry_Int_Tables_number 71
_symmetry_space_group_name_Hall '-I 2 2'
loop_
_atom_site_label
_atom_site_type_symbol
_atom_site_fract_x
_atom_site_fract_y
_atom_site_fract_z
_atom_site_occupancy
Hf1 Hf 0.0000 0.2440 0.0000 1
Hf2 Hf 0.0000 0.2529 0.3313 1
Cr1 Cr 0.0000 0.0000 0.5000 1
Tc1 Tc 0.0000 0.0000 0.1675 1
Tc2 Tc 0.0000 0.5000 0.1622 1
Tc3 Tc 0.0000 0.5000 0.5000 1
# final energy: -10.506 eV per atom


Record 18
# PBE HfCr2Tc, relaxed
data_HfCr2Tc
_chemical_formula_sum 'Hf4 Cr8 Tc4'
_cell_length_a 6.1391
_cell_length_b 6.1391
_cell_length_c 6.1391
_cell_angle_alpha 90.00
_cell_angle_beta 90.00
_cell_angle_gamma 90.00
_symmetry_space_group_name_H-M 'F m -3 m'
_symmetry_Int_Tables_number 225
_symmetry_space_group_name_Hall '-F 4 2 3'
loop_
_atom_site_label
_atom_site_type_symbol
_atom_site_fract_x
_atom_site_fract_y
_atom_site_fract_z
_atom_site_occupancy
Hf1 Hf 0.0000 0.0000 0.0000 1
Cr1 Cr 0.2500 0.2500 0.2500 1
Tc1 Tc 0.0000 0.0000 0.5000 1
# relative energy among the computed polymorphs: 0.000 eV/atom
# final energy: -9.864 eV per atom


Record 19
# PBE Hf2CrTc2, relaxed
data_Hf2CrTc2
_chemical_formula_sum 'Hf4 Cr2 Tc4'
_cell_length_a 6.2916
_cell_length_b 6.2916
_cell_length_c 4.4218
_cell_angle_alpha 90.00
_cell_angle_beta 90.00
_cell_angle_gamma 90.00
_symmetry_space_group_name_H-M 'P 4/m b m'
_symmetry_Int_Tables_number 127
_symmetry_space_group_name_Hall '-P 4 2ab'
loop_
_atom_site_label
_atom_site_type_symbol
_atom_site_fract_x
_atom_site_fract_y
_atom_site_fract_z
_atom_site_occupancy
Hf1 Hf 0.1768 0.3232 0.0000 1
Cr1 Cr 0.0000 0.0000 0.5000 1
Tc1 Tc 0.1461 0.6461 0.5000 1
# final energy: -10.103 eV per atom


Record 20
# PBE HfCr4Tc, relaxed
data_HfCr4Tc
_chemical_formula_sum 'Hf4 Cr16 Tc4'
_cell_length_a 6.9068
_cell_length_b 6.9068
_cell_length_c 6.9068
_cell_angle_alpha 90.00
_cell_angle_beta 90.00
_cell_angle_gamma 90.00
_symmetry_space_group_name_H-M 'F -4 3 m'
_symmetry_Int_Tables_number 216
_symmetry_space_group_name_Hall 'F -4 2 3'
loop_
_atom_site_label
_atom_site_type_symbol
_atom_site_fract_x
_atom_site_fract_y
_atom_site_fract_z
_atom_site_occupancy
Hf1 Hf 0.0000 0.0000 0.0000 1
Cr1 Cr 0.1251 0.1251 0.3749 1
Tc1 Tc 0.2500 0.2500 0.7500 1
# final energy: -9.816 eV per atom


Number 1: formation energy from the elements 2.03 eV per atom. Number 2: formation energy from the elements 0.83 eV per atom. Number 3: formation energy from the elements 0.70 eV per atom. Number 4: formation energy from the elements 0.08 eV per atom. Number 5: formation energy from the elements 0.07 eV per atom. Number 6: formation energy from the elements 2.39 eV per atom. Number 7: formation energy from the elements 0.77 eV per atom. Number 8: formation energy from the elements 0.15 eV per atom. Number 9: formation energy from the elements 0.28 eV per atom. Number 10: formation energy from the elements 1.33 eV per atom. Number 11: formation energy from the elements 0.79 eV per atom. Number 12: formation energy from the elements 0.09 eV per atom. Number 13: formation energy from the elements -0.31 eV per atom. Number 14: formation energy from the elements 0.86 eV per atom. Number 15: formation energy from the elements -0.16 eV per atom. Number 16: formation energy from the elements 0.76 eV per atom. Number 17: formation energy from the elements -0.41 eV per atom. Number 18: formation energy from the elements 0.03 eV per atom. Number 19: formation energy from the elements -0.05 eV per atom. Number 20: formation energy from the elements -0.01 eV per atom.